A relaxed structure of Na3Ho3SbS8, computed with PBE-GGA.

## Properties
For the density of states at the Fermi level, the calculation gives 1.4 states/eV/cell. The raw total energy comes out at -0.37901 Ry per atom. The crystal system is trigonal. Its symmetry is R-3m (166). Its uncorrected formation energy is -1501 meV/atom.

Lattice parameters (Å, degrees): 8.129 8.129 8.129 58.00 58.00 58.00
Fractional positions:
Na 0.000 0.500 0.500
Na 0.500 0.000 0.500
Na 0.500 0.500 0.000
Ho 0.000 0.000 0.500
Ho 0.000 0.500 0.000
Ho 0.500 0.000 0.000
Sb 0.500 0.500 0.500
S 0.241 0.241 0.241
S 0.250 0.735 0.735
S 0.265 0.265 0.750
S 0.265 0.750 0.265
S 0.735 0.250 0.735
S 0.735 0.735 0.250
S 0.750 0.265 0.265
S 0.759 0.759 0.759